Model a:
YCo2Ru | PBEsol | optimized geometry

The total moment comes out at 7.2 Bohr magnetons per cell.

The structure belongs to space group Imm2 (No. 44); the cell edges are 3.0517, 4.4186 and 8.7047 Å and the angles 90.00°, 90.00° and 90.00°. The inequivalent atoms are Y at (0.0000, 0.0000, 0.0000), Co at (0.0000, 0.0000, 0.4882), Co at (0.0000, 0.5000, 0.7735) and Ru at (0.0000, 0.5000, 0.2245).

Model b:
YCo2Ru | PBEsol | optimized geometry

The total moment comes out at 6.9 Bohr magnetons per cell.

The structure belongs to space group R-3m (No. 166, hexagonal axes); the cell edges are 2.7539, 2.7539 and 26.2220 Å and the angles 90.00°, 90.00° and 120.00°. The inequivalent atoms are Y at (0.0000, 0.0000, 0.0000), Co at (0.0000, 0.0000, 0.2406) and Ru at (0.0000, 0.0000, 0.5000).

It comes down to model a, which is 36.7 kJ/mol of atoms more stable than the next structure.

Model a:
Zn2CoRu | PBEsol | optimized geometry

The total moment comes out at 0.4 Bohr magnetons per cell.

The structure belongs to space group P4mm (No. 99); the cell edges are 2.6225, 2.6225 and 7.3150 Å and the angles 90.00°, 90.00° and 90.00°. The inequivalent atoms are Zn at (0.0000, 0.0000, 0.0000), Zn at (0.5000, 0.5000, 0.2778), Co at (0.0000, 0.0000, 0.5154) and Ru at (0.5000, 0.5000, 0.7342).

Model b:
Zn2CoRu | PBEsol | optimized geometry

The total moment comes out at 2.6 Bohr magnetons per cell.

The structure belongs to space group R3m (No. 160, hexagonal axes); the cell edges are 2.6297, 2.6297 and 25.3868 Å and the angles 90.00°, 90.00° and 120.00°. The inequivalent atoms are Zn at (0.0000, 0.0000, 0.0000), Zn at (0.0000, 0.0000, 0.2430), Co at (0.0000, 0.0000, 0.7464) and Ru at (0.0000, 0.0000, 0.4891).

It comes down to model a, which is 5.5 kJ/mol of atoms more stable than the next structure.